Material: Tb7Co6Sn23
Method: DFT, PBE
State: relaxed

Properties
The value obtained for the electronic total energy is -0.175 hartree per atom.

Cell: 10.200 10.200 10.730 Å, 90.00 90.00 120.00°
Atoms (fractional coordinates):
Tb (0.942, 0.471, 0.706)
Sn (0.787, 0.893, 0.305)
Co (0.197, 0.803, 0.148)
Tb (0.000, 0.000, 0.000)
Sn (0.667, 0.333, 0.906)
Sn (0.653, 0.000, 0.000)
Sn (0.542, 0.771, 0.555)
Sn (0.333, 0.667, 0.791)
Tb (0.529, 0.058, 0.706)
Sn (0.213, 0.107, 0.695)
Sn (0.771, 0.542, 0.445)
Sn (0.000, 0.347, 0.000)
Sn (0.000, 0.653, 0.000)
Co (0.394, 0.197, 0.852)
Sn (0.347, 0.347, 0.000)
Sn (0.893, 0.787, 0.695)
Co (0.803, 0.606, 0.852)
Sn (0.893, 0.107, 0.695)
Co (0.803, 0.197, 0.852)
Sn (0.347, 0.000, 0.000)
Co (0.197, 0.394, 0.148)
Sn (0.653, 0.653, 0.000)
Tb (0.471, 0.529, 0.294)
Sn (0.107, 0.213, 0.305)
Sn (0.107, 0.893, 0.305)
Sn (0.771, 0.229, 0.445)
Sn (0.333, 0.667, 0.094)
Sn (0.000, 0.000, 0.500)
Tb (0.058, 0.529, 0.294)
Co (0.606, 0.803, 0.148)
Sn (0.229, 0.771, 0.555)
Tb (0.471, 0.942, 0.294)
Sn (0.667, 0.333, 0.209)
Tb (0.529, 0.471, 0.706)
Sn (0.458, 0.229, 0.445)
Sn (0.229, 0.458, 0.555)